Below is a geometry-optimized HfTi2HW structure, with properties calculated at the PBE level.

SG: P4/mmm
Offset from the most stable computed form (eV per atom): 0.0483
DOS(E_F) (states/eV/cell): 6.96

Geometry as POSCAR:
```
HfTi2HW
1.0
4.050 0.000 0.000
0.000 4.465 0.000
0.000 0.000 4.050
Hf W Ti H
1 1 2 1
Cartesian
2.025 2.232 2.025 Hf
0.000 2.232 0.000 W
2.025 0.000 0.000 Ti
0.000 0.000 2.025 Ti
0.000 0.000 0.000 H
```


Below is a geometry-optimized LiSe2O structure, with properties calculated at the PBE level.

Raw formation energy (kJ per mole of atoms): -25
SG: R-3m
DOS(E_F) (states/eV/cell): 1.76

Geometry as POSCAR:
```
LiSe2O
1.0
-6.167 0.753 -1.108
-5.300 2.030 2.760
-4.418 4.481 -0.489
Se Li O
2 1 1
Cartesian
-1.660 0.759 0.122 Se
-14.225 6.504 1.042 Se
-7.943 3.632 0.582 Li
0.000 0.000 0.000 O
```


Below is a geometry-optimized BaCoTeN2 structure, with properties calculated at the PBE level.

Raw formation energy (kJ per mole of atoms): 190
SG: P4/mmm
Offset from the most stable computed form (eV per atom): 1.1696
DOS(E_F) (states/eV/cell): 9.21

Geometry as POSCAR:
```
BaCoTeN2
1.0
-2.152 0.096 3.970
-3.956 -0.437 -2.134
0.549 -7.284 0.473
Co Ba N Te
1 1 2 1
Cartesian
-2.780 -3.812 1.154 Co
0.000 0.000 0.000 Ba
-1.076 0.048 1.985 N
-1.978 -0.218 -1.067 N
0.274 -3.642 0.237 Te
```


Below is a geometry-optimized Zr3TiIr structure, with properties calculated at the PBE level.

DFT formation energy (eV per atom): 0.397
SG: Pm-3m
Offset from the most stable computed form (eV per atom): 0.0000
DOS(E_F) (states/eV/cell): 7.06

Geometry as POSCAR:
```
Zr3TiIr
1.0
-4.741 1.479 0.894
-1.097 -0.561 -4.893
-1.335 -4.792 0.849
Ti Zr Ir
1 3 1
Cartesian
-3.586 -1.937 -1.575 Ti
-2.370 0.739 0.447 Zr
-0.667 -2.396 0.424 Zr
-0.549 -0.281 -2.446 Zr
0.000 0.000 0.000 Ir
```


Below is a geometry-optimized Ac5Pm4Ho structure, with properties calculated at the PBE level.

DFT formation energy (eV per atom): 0.036
SG: P4/mmm
DOS(E_F) (states/eV/cell): 15.91

Geometry as POSCAR:
```
Ac5Pm4Ho
1.0
-2.974 2.210 1.154
-1.129 -2.795 2.443
14.811 10.241 18.561
Ho Ac Pm
1 5 4
Cartesian
0.000 0.000 0.000 Ho
11.326 8.958 18.563 Ac
-0.618 0.699 3.595 Ac
8.346 6.897 14.829 Ac
2.362 2.759 7.329 Ac
5.354 4.828 11.079 Ac
11.896 8.225 14.907 Pm
2.915 2.016 3.653 Pm
8.902 6.155 11.155 Pm
5.910 4.086 7.406 Pm
```


Below is a geometry-optimized YAlZn structure, with properties calculated at the PBE level.

DFT formation energy (eV per atom): -0.479
SG: P-6m2
DOS(E_F) (states/eV/cell): 1.57

Geometry as POSCAR:
```
YAlZn
1.0
-1.571 -3.167 2.767
3.377 2.651 1.311
-2.350 2.333 1.336
Y Al Zn
1 1 1
Cartesian
-0.705 -0.450 2.726 Y
-1.958 1.943 1.113 Al
-0.232 2.657 2.910 Zn
```